The following is a DFT calculation (PBE) of a geometry-optimized CsPu2CuO8 structure.

Final energy ... -95.1 eV per cell
Volume ... 17.38 Å³ per atom
Formation energy without anion corrections ... -21.8 eV per formula unit

a = 5.7527 Å, b = 5.7527 Å, c = 7.2782 Å
α = 90.00°, β = 90.00°, γ = 120.00°
With the nearest neighbours (Å) after each atom.
Positions (direct):
Cs 0.0000 0.0000 0.5000  12 O 3.38-3.55, 2 Cu 3.64
Pu 0.6667 0.3333 0.0692  1 O 1.87
Pu 0.3333 0.6667 0.9308  1 O 1.87
Cu 0.0000 0.0000 0.0000  6 O 2.12
O 0.9401 0.6377 0.8807  1 Cu 2.12, 2 Pu 2.16-2.21
O 0.3623 0.3024 0.8807  1 Cu 2.12, 2 Pu 2.16-2.21
O 0.6976 0.0599 0.8807  1 Cu 2.12, 2 Pu 2.16-2.21
O 0.0599 0.3623 0.1193  1 Cu 2.12, 2 Pu 2.16-2.21
O 0.6377 0.6976 0.1193  1 Cu 2.12, 2 Pu 2.16-2.21
O 0.3024 0.9401 0.1193  1 Cu 2.12, 2 Pu 2.16-2.21
O 0.6667 0.3333 0.3262  1 Pu 1.87
O 0.3333 0.6667 0.6738  1 Pu 1.87